Record 1
The following is a DFT calculation (PBEsol) of crystalline In5Sb at its relaxed geometry.

- ΔE to the lowest computed polymorph (meV/atom) = 0.0
- calculated volume (Å³/atom) = 25.9
- total magnetic moment (μB/atom) = 0.00
- crystal system = orthorhombic
- energy relative to the elements, uncorrected (eV per atom) = 0.012
- space-group type = Cmmm (65)

Geometry as POSCAR:
```
In5Sb
1.0
4.8091 0.0000 0.0000
0.0000 13.2818 0.0000
0.0000 0.0000 4.8620
In Sb
10 2
Direct
0.0000 0.0000 0.0000
0.0000 0.1653 0.5000
0.0000 0.3332 0.0000
0.0000 0.6668 0.0000
0.0000 0.8347 0.5000
0.5000 0.1668 0.0000
0.5000 0.3347 0.5000
0.5000 0.5000 0.0000
0.5000 0.6653 0.5000
0.5000 0.8332 0.0000
0.0000 0.5000 0.5000
0.5000 0.0000 0.5000
```

Record 2
The following is a DFT calculation (PBEsol) of crystalline InSb3 at its relaxed geometry.

- ΔE to the lowest computed polymorph (meV/atom) = 125.0
- calculated volume (Å³/atom) = 27.7
- total magnetic moment (μB/atom) = 0.00
- crystal system = tetragonal
- energy relative to the elements, uncorrected (eV per atom) = 0.132
- space-group type = I4/mmm (139)

Geometry as POSCAR:
```
InSb3
1.0
4.3605 0.0000 0.0000
0.0000 4.3605 0.0000
0.0000 0.0000 23.3167
In Sb
4 12
Direct
0.0000 0.0000 0.1426
0.0000 0.0000 0.8574
0.5000 0.5000 0.3574
0.5000 0.5000 0.6426
0.0000 0.0000 0.3998
0.0000 0.0000 0.6002
0.0000 0.5000 0.0000
0.0000 0.5000 0.2500
0.0000 0.5000 0.5000
0.0000 0.5000 0.7500
0.5000 0.0000 0.0000
0.5000 0.0000 0.2500
0.5000 0.0000 0.5000
0.5000 0.0000 0.7500
0.5000 0.5000 0.1002
0.5000 0.5000 0.8998
```

Record 3
The following is a DFT calculation (PBEsol) of crystalline In5Sb at its relaxed geometry.

- ΔE to the lowest computed polymorph (meV/atom) = 28.6
- calculated volume (Å³/atom) = 25.8
- total magnetic moment (μB/atom) = 0.00
- crystal system = hexagonal
- energy relative to the elements, uncorrected (eV per atom) = 0.041
- space-group type = P-62m (189)

Geometry as POSCAR:
```
In5Sb
1.0
5.5796 0.0000 0.0000
-2.7898 4.8321 0.0000
0.0000 0.0000 5.7437
In Sb
5 1
Direct
0.0000 0.3304 0.0000
0.3304 0.0000 0.0000
0.3333 0.6667 0.5000
0.6667 0.3333 0.5000
0.6696 0.6696 0.0000
0.0000 0.0000 0.5000
```

Record 4
The following is a DFT calculation (PBEsol) of crystalline InSb at its relaxed geometry.

- calculated volume (Å³/atom) = 26.3
- total magnetic moment (μB/atom) = 0.00
- crystal system = cubic
- energy relative to the elements, uncorrected (eV per atom) = 0.083
- space-group type = Fd-3m (227)

Geometry as POSCAR:
```
InSb
1.0
7.4920 0.0000 0.0000
0.0000 7.4920 0.0000
0.0000 0.0000 7.4920
In Sb
8 8
Direct
0.1250 0.1250 0.1250
0.1250 0.6250 0.6250
0.3750 0.3750 0.8750
0.3750 0.8750 0.3750
0.6250 0.1250 0.6250
0.6250 0.6250 0.1250
0.8750 0.3750 0.3750
0.8750 0.8750 0.8750
0.1250 0.1250 0.6250
0.1250 0.6250 0.1250
0.3750 0.3750 0.3750
0.3750 0.8750 0.8750
0.6250 0.1250 0.1250
0.6250 0.6250 0.6250
0.8750 0.3750 0.8750
0.8750 0.8750 0.3750
```

Record 5
The following is a DFT calculation (PBEsol) of crystalline In5Sb at its relaxed geometry.

- ΔE to the lowest computed polymorph (meV/atom) = 13.3
- calculated volume (Å³/atom) = 25.7
- total magnetic moment (μB/atom) = 0.00
- crystal system = tetragonal
- energy relative to the elements, uncorrected (eV per atom) = 0.025
- space-group type = P4/mmm (123)

Geometry as POSCAR:
```
In5Sb
1.0
3.3275 0.0000 0.0000
0.0000 3.3275 0.0000
0.0000 0.0000 13.9238
In Sb
5 1
Direct
0.0000 0.0000 0.0000
0.0000 0.0000 0.3317
0.0000 0.0000 0.6683
0.5000 0.5000 0.1646
0.5000 0.5000 0.8354
0.5000 0.5000 0.5000
```

Record 6
The following is a DFT calculation (PBEsol) of crystalline InSb3 at its relaxed geometry.

- ΔE to the lowest computed polymorph (meV/atom) = 0.0
- calculated volume (Å³/atom) = 28.5
- total magnetic moment (μB/atom) = 0.00
- crystal system = orthorhombic
- energy relative to the elements, uncorrected (eV per atom) = 0.007
- space-group type = Cmcm (63)

Geometry as POSCAR:
```
InSb3
1.0
8.6091 0.0000 0.0000
0.0000 8.7820 0.0000
0.0000 0.0000 6.0400
In Sb
4 12
Direct
0.0000 0.2360 0.2500
0.0000 0.7640 0.7500
0.5000 0.2640 0.7500
0.5000 0.7360 0.2500
0.0000 0.2639 0.7500
0.0000 0.7361 0.2500
0.2417 0.4932 0.7500
0.2417 0.5068 0.2500
0.2583 0.0068 0.2500
0.2583 0.9932 0.7500
0.5000 0.2361 0.2500
0.5000 0.7639 0.7500
0.7417 0.0068 0.2500
0.7417 0.9932 0.7500
0.7583 0.4932 0.7500
0.7583 0.5068 0.2500
```

Record 7
The following is a DFT calculation (PBEsol) of crystalline In5Sb at its relaxed geometry.

- ΔE to the lowest computed polymorph (meV/atom) = 14.8
- calculated volume (Å³/atom) = 25.8
- total magnetic moment (μB/atom) = 0.00
- crystal system = orthorhombic
- energy relative to the elements, uncorrected (eV per atom) = 0.027
- space-group type = Amm2 (38)

Geometry as POSCAR:
```
In5Sb
1.0
5.4503 0.0000 0.0000
0.0000 3.1837 0.0000
0.0000 0.0000 17.8300
In Sb
10 2
Direct
0.0000 0.0000 0.0000
0.0000 0.0000 0.3315
0.0000 0.5000 0.5000
0.0000 0.5000 0.8315
0.5000 0.0000 0.2322
0.5000 0.0000 0.5663
0.5000 0.0000 0.9003
0.5000 0.5000 0.0663
0.5000 0.5000 0.4003
0.5000 0.5000 0.7322
0.0000 0.0000 0.6636
0.0000 0.5000 0.1636
```

Record 8
The following is a DFT calculation (PBEsol) of crystalline InSb at its relaxed geometry.

- calculated volume (Å³/atom) = 26.8
- total magnetic moment (μB/atom) = 0.00
- crystal system = monoclinic
- energy relative to the elements, uncorrected (eV per atom) = 0.042
- space-group type = P2_1/m (11)

Geometry as POSCAR:
```
InSb
1.0
3.0745 0.0000 0.0000
0.0000 5.2565 0.0000
-0.0114 0.0000 6.6376
In Sb
2 2
Direct
0.2196 0.2500 0.3898
0.7804 0.7500 0.6102
0.0023 0.2500 0.8786
0.9977 0.7500 0.1214
```

Record 9
The following is a DFT calculation (PBEsol) of crystalline In3Sb at its relaxed geometry.

- calculated volume (Å³/atom) = 26.1
- total magnetic moment (μB/atom) = 0.00
- crystal system = monoclinic
- energy relative to the elements, uncorrected (eV per atom) = 0.036
- space-group type = C2/m (12)

Geometry as POSCAR:
```
In3Sb
1.0
10.4748 0.0000 0.0000
0.0000 3.1477 0.0000
-0.3423 0.0000 6.3299
In Sb
6 2
Direct
0.0000 0.0000 0.0000
0.2491 0.0000 0.7542
0.2509 0.5000 0.2458
0.5000 0.5000 0.0000
0.7491 0.5000 0.7542
0.7509 0.0000 0.2458
0.0000 0.5000 0.5000
0.5000 0.0000 0.5000
```

Record 10
The following is a DFT calculation (PBEsol) of crystalline InSb at its relaxed geometry.

- calculated volume (Å³/atom) = 34.5
- total magnetic moment (μB/atom) = 0.00
- crystal system = cubic
- energy relative to the elements, uncorrected (eV per atom) = -0.080
- space-group type = F-43m (216)

Geometry as POSCAR:
```
InSb
1.0
6.5109 0.0000 0.0000
0.0000 6.5109 0.0000
0.0000 0.0000 6.5109
In Sb
4 4
Direct
0.0000 0.0000 0.0000
0.0000 0.5000 0.5000
0.5000 0.0000 0.5000
0.5000 0.5000 0.0000
0.2500 0.2500 0.7500
0.2500 0.7500 0.2500
0.7500 0.2500 0.2500
0.7500 0.7500 0.7500
```

Record 11
The following is a DFT calculation (PBEsol) of crystalline InSb2 at its relaxed geometry.

- calculated volume (Å³/atom) = 27.8
- total magnetic moment (μB/atom) = 0.00
- crystal system = tetragonal
- energy relative to the elements, uncorrected (eV per atom) = 0.119
- space-group type = I4_1/amd (141)

Geometry as POSCAR:
```
InSb2
1.0
3.8305 0.0000 0.0000
0.0000 3.8305 0.0000
0.0000 0.0000 22.7746
In Sb
4 8
Direct
0.0000 0.2500 0.3750
0.0000 0.7500 0.6250
0.5000 0.2500 0.1250
0.5000 0.7500 0.8750
0.0000 0.2500 0.7980
0.0000 0.2500 0.9520
0.0000 0.7500 0.0480
0.0000 0.7500 0.2020
0.5000 0.2500 0.5480
0.5000 0.2500 0.7020
0.5000 0.7500 0.2980
0.5000 0.7500 0.4520
```

Record 12
The following is a DFT calculation (PBEsol) of crystalline In8Sb at its relaxed geometry.

- calculated volume (Å³/atom) = 25.6
- total magnetic moment (μB/atom) = 0.00
- crystal system = tetragonal
- energy relative to the elements, uncorrected (eV per atom) = 0.014
- space-group type = I4/mmm (139)

Geometry as POSCAR:
```
In8Sb
1.0
-4.8786 4.8786 2.4245
4.8786 -4.8786 2.4245
4.8786 4.8786 -2.4245
In Sb
8 1
Direct
0.0000 0.3348 0.3348
0.0000 0.6652 0.6652
0.3338 0.3338 0.6675
0.3338 0.6662 0.0000
0.3348 0.0000 0.3348
0.6652 0.0000 0.6652
0.6662 0.3338 0.0000
0.6662 0.6662 0.3325
0.0000 0.0000 0.0000
```

Record 13
The following is a DFT calculation (PBEsol) of crystalline In5Sb at its relaxed geometry.

- ΔE to the lowest computed polymorph (meV/atom) = 7.4
- calculated volume (Å³/atom) = 25.7
- total magnetic moment (μB/atom) = 0.00
- crystal system = triclinic
- energy relative to the elements, uncorrected (eV per atom) = 0.020
- space-group type = P1 (1)

Geometry as POSCAR:
```
In5Sb
1.0
3.4233 0.0000 0.0000
-1.6624 6.5255 0.0000
-0.3108 -1.9539 6.9132
In Sb
5 1
Direct
0.0000 0.0000 0.0000
0.0009 0.9987 0.4962
0.3255 0.6616 0.1637
0.3359 0.6646 0.6639
0.6635 0.3301 0.8301
0.6698 0.3322 0.3321
```

Record 14
The following is a DFT calculation (PBEsol) of crystalline InSb3 at its relaxed geometry.

- ΔE to the lowest computed polymorph (meV/atom) = 113.5
- calculated volume (Å³/atom) = 31.0
- total magnetic moment (μB/atom) = 0.00
- crystal system = orthorhombic
- energy relative to the elements, uncorrected (eV per atom) = 0.120
- space-group type = Cmcm (63)

Geometry as POSCAR:
```
InSb3
1.0
8.6749 0.0000 0.0000
0.0000 14.0896 0.0000
0.0000 0.0000 4.0638
In Sb
4 12
Direct
0.0000 0.0702 0.2500
0.0000 0.9298 0.7500
0.5000 0.4298 0.7500
0.5000 0.5702 0.2500
0.0000 0.4180 0.2500
0.0000 0.5820 0.7500
0.2209 0.3238 0.7500
0.2209 0.6762 0.2500
0.2791 0.1762 0.2500
0.2791 0.8238 0.7500
0.5000 0.0820 0.7500
0.5000 0.9180 0.2500
0.7209 0.1762 0.2500
0.7209 0.8238 0.7500
0.7791 0.3238 0.7500
0.7791 0.6762 0.2500
```

Record 15
The following is a DFT calculation (PBEsol) of crystalline In3Sb at its relaxed geometry.

- calculated volume (Å³/atom) = 26.0
- total magnetic moment (μB/atom) = 0.00
- crystal system = orthorhombic
- energy relative to the elements, uncorrected (eV per atom) = 0.030
- space-group type = Immm (71)

Geometry as POSCAR:
```
In3Sb
1.0
3.4296 0.0000 0.0000
0.0000 5.4850 0.0000
0.0000 0.0000 11.0376
In Sb
6 2
Direct
0.0000 0.0000 0.0000
0.0000 0.5000 0.2446
0.0000 0.5000 0.7554
0.5000 0.0000 0.2554
0.5000 0.0000 0.7446
0.5000 0.5000 0.5000
0.0000 0.0000 0.5000
0.5000 0.5000 0.0000
```

Record 16
The following is a DFT calculation (PBEsol) of crystalline InSb at its relaxed geometry.

- calculated volume (Å³/atom) = 34.5
- total magnetic moment (μB/atom) = 0.00
- crystal system = hexagonal
- energy relative to the elements, uncorrected (eV per atom) = -0.070
- space-group type = P6_3mc (186)

Geometry as POSCAR:
```
InSb
1.0
4.5913 0.0000 0.0000
-2.2956 3.9761 0.0000
0.0000 0.0000 7.5550
In Sb
2 2
Direct
0.3333 0.6667 0.0000
0.6667 0.3333 0.5000
0.3333 0.6667 0.6259
0.6667 0.3333 0.1259
```

Record 17
The following is a DFT calculation (PBEsol) of crystalline ScInSb2 at its relaxed geometry.

- calculated volume (Å³/atom) = 23.9
- total magnetic moment (μB/atom) = 0.00
- crystal system = tetragonal
- energy relative to the elements, uncorrected (eV per atom) = -0.356
- space-group type = I-4m2 (119)

Geometry as POSCAR:
```
ScInSb2
1.0
4.2584 0.0000 0.0000
0.0000 4.2584 0.0000
0.0000 0.0000 10.5585
Sc In Sb
2 2 4
Direct
0.0000 0.0000 0.0000
0.5000 0.5000 0.5000
0.0000 0.5000 0.7500
0.5000 0.0000 0.2500
0.0000 0.0000 0.5000
0.0000 0.5000 0.2500
0.5000 0.0000 0.7500
0.5000 0.5000 0.0000
```

Record 18
The following is a DFT calculation (PBEsol) of crystalline ScZnInSb2 at its relaxed geometry.

- calculated volume (Å³/atom) = 26.5
- total magnetic moment (μB/atom) = 0.00
- crystal system = tetragonal
- energy relative to the elements, uncorrected (eV per atom) = 0.273
- space-group type = P4/mmm (123)

Geometry as POSCAR:
```
ScZnInSb2
1.0
5.1266 0.0000 0.0000
0.0000 5.1266 0.0000
0.0000 0.0000 5.0403
Sc Zn In Sb
1 1 1 2
Direct
0.0000 0.0000 0.0000
0.0000 0.0000 0.5000
0.5000 0.5000 0.0000
0.0000 0.5000 0.5000
0.5000 0.0000 0.5000
```

Record 19
The following is a DFT calculation (PBEsol) of crystalline InSb2TeSe at its relaxed geometry.

- calculated volume (Å³/atom) = 31.6
- total magnetic moment (μB/atom) = 0.00
- crystal system = tetragonal
- energy relative to the elements, uncorrected (eV per atom) = 0.471
- space-group type = P4/mmm (123)

Geometry as POSCAR:
```
InSb2TeSe
1.0
5.3332 0.0000 0.0000
0.0000 5.3332 0.0000
0.0000 0.0000 5.5492
In Sb Te Se
1 2 1 1
Direct
0.0000 0.0000 0.0000
0.0000 0.5000 0.5000
0.5000 0.0000 0.5000
0.5000 0.5000 0.0000
0.5000 0.5000 0.5000
```

Record 20
The following is a DFT calculation (PBEsol) of crystalline InSbTe2Se at its relaxed geometry.

- calculated volume (Å³/atom) = 33.3
- total magnetic moment (μB/atom) = 0.00
- crystal system = tetragonal
- energy relative to the elements, uncorrected (eV per atom) = 0.810
- space-group type = P4/mmm (123)

Geometry as POSCAR:
```
InSbTe2Se
1.0
5.4626 0.0000 0.0000
0.0000 5.4626 0.0000
0.0000 0.0000 5.5807
In Sb Te Se
1 1 2 1
Direct
0.0000 0.0000 0.0000
0.0000 0.0000 0.5000
0.0000 0.5000 0.0000
0.5000 0.0000 0.0000
0.5000 0.5000 0.5000
```